Dy4Ga3Rh, optimized geometry, DFT PBE-GGA; total moment = 0.000 μB per atom; SG = Pmm2 (25); calculated volume = 185.6 Å³ per cell; formation enthalpy at 0 K = -672.4 meV/atom
1.0
4.170 0.000 0.000
0.000 4.178 0.000
0.000 0.000 10.653
Dy Rh Ga
4 1 3
direct
0.000 0.000 0.138
0.500 0.500 0.346
0.500 0.000 0.644
0.000 0.500 0.867
0.500 0.500 0.078
0.500 0.000 0.927
0.000 0.500 0.576
0.000 0.000 0.425



Pm2PrCd, optimized geometry, DFT PBE-GGA; distance to the lowest polymorph of the same formula = 139.8 meV per atom; total moment = 0.000 μB per atom; SG = Fm-3m (225); calculated volume = 123.8 Å³ per cell; formation enthalpy at 0 K = -12.9 meV/atom
1.0
-0.346 -1.302 -5.430
4.654 -0.426 -3.076
1.721 -5.013 -1.790
Pm Pr Cd
2 1 1
direct
0.750 0.750 0.750
0.250 0.250 0.250
0.000 0.000 0.000
0.500 0.500 0.500



YCd14In, optimized geometry, DFT PBE-GGA; total moment = 0.000 μB per atom; SG = P4/mmm (123); calculated volume = 375.7 Å³ per cell; formation enthalpy at 0 K = -44.9 meV/atom
1.0
6.605 -0.014 0.000
0.014 6.605 0.000
0.000 0.000 8.613
Cd In Y
14 1 1
direct
0.125 0.625 0.758
0.125 0.625 0.242
0.875 0.375 0.500
0.125 0.125 0.758
0.375 0.875 0.500
0.625 0.125 0.242
0.125 0.125 0.242
0.875 0.375 0.000
0.875 0.875 0.000
0.375 0.375 0.000
0.625 0.625 0.242
0.625 0.625 0.758
0.625 0.125 0.758
0.375 0.875 0.000
0.375 0.375 0.500
0.875 0.875 0.500